[1]
Here is an optimized crystal structure of SrNdAlSe4 from Alexandria. Energies are from PBE-GGA.

The space group is No. 11.

Cell: 6.911 7.013 8.452 Å, 90.00 107.19 90.00°
Positions (direct):
1 Sr 0.249 0.250 0.062
2 Sr 0.751 0.750 0.938
3 Nd 0.225 0.250 0.555
4 Nd 0.775 0.750 0.445
5 Al 0.237 0.750 0.314
6 Al 0.763 0.250 0.686
7 Se 0.003 0.507 0.739
8 Se 0.003 0.993 0.739
9 Se 0.434 0.750 0.128
10 Se 0.435 0.750 0.595
11 Se 0.565 0.250 0.405
12 Se 0.566 0.250 0.872
13 Se 0.997 0.007 0.261
14 Se 0.997 0.493 0.261

---

[2]
Here is an optimized crystal structure of Nd4AlTe2Se from Alexandria. Energies are from PBE-GGA.

The space group is No. 10. The density of states at the Fermi level is 3.60 states/eV/f.u.

Cell: 7.626 4.334 7.776 Å, 90.00 108.64 90.00°
Positions (direct):
1 Nd 0.245 0.000 0.228
2 Nd 0.255 0.500 0.765
3 Nd 0.745 0.500 0.235
4 Nd 0.755 0.000 0.772
5 Al 0.500 0.000 0.000
6 Te 0.000 0.000 0.500
7 Te 0.500 0.500 0.500
8 Se 0.000 0.500 0.000

---

[3]
Here is an optimized crystal structure of Nd3AlTl3Se8 from Alexandria. Energies are from PBE-GGA.

The space group is No. 12. The density of states at the Fermi level is 5.56 states/eV/f.u.

Cell: 8.453 8.453 9.048 Å, 117.93 117.93 59.99°
Positions (direct):
1 Nd 0.000 0.000 0.000
2 Nd 0.000 0.500 0.000
3 Nd 0.500 0.000 0.000
4 Al 0.500 0.500 0.000
5 Tl 0.000 0.500 0.500
6 Tl 0.500 0.000 0.500
7 Tl 0.500 0.500 0.500
8 Se 0.239 0.239 0.216
9 Se 0.267 0.715 0.197
10 Se 0.285 0.285 0.803
11 Se 0.285 0.733 0.803
12 Se 0.715 0.267 0.197
13 Se 0.715 0.715 0.197
14 Se 0.733 0.285 0.803
15 Se 0.761 0.761 0.784

---

Respective formation energy (no corrections) values: -11.0 -10.0 -17.4 eV/f.u..